# 1
A plane-wave DFT calculation with PBE was carried out for a geometry-optimized La3TbTh2 structure.

Calculated values
calculated formation energy = 0.25 eV/f.u.
V = 410.03 Å³ per cell
N(E_F) = 19.74 states/eV per cell
density = 8.42 g/cm3

Structure (POSCAR):
```
La3TbTh2
1.0
3.636 0.000 0.000
0.000 10.267 1.233
0.000 -1.341 10.822
La Tb Th
6 2 4
direct
0.750 0.136 0.585
0.250 0.864 0.415
0.750 0.624 0.248
0.250 0.376 0.752
0.250 0.359 0.082
0.750 0.641 0.918
0.250 0.875 0.749
0.750 0.125 0.251
0.250 0.382 0.419
0.750 0.618 0.581
0.750 0.113 0.918
0.250 0.887 0.082
```


# 2
A plane-wave DFT calculation with PBE was carried out for a geometry-optimized LaTb4Th3 structure.

Calculated values
calculated formation energy = 0.42 eV/f.u.
V = 260.63 Å³ per cell
N(E_F) = 12.94 states/eV per cell
density = 9.37 g/cm3

Structure (POSCAR):
```
LaTb4Th3
1.0
5.923 0.901 -1.692
0.773 5.921 -1.747
-1.694 -1.650 8.433
Tb Th La
4 3 1
direct
0.754 0.254 0.507
0.246 0.746 0.493
0.376 0.375 0.751
0.624 0.625 0.249
0.000 0.500 0.000
0.878 0.877 0.755
0.122 0.123 0.245
0.500 0.000 0.000
```


# 3
A plane-wave DFT calculation with PBE was carried out for a geometry-optimized La8Tb2Th structure.

Calculated values
calculated formation energy = 3.33 eV/f.u.
V = 411.00 Å³ per cell
N(E_F) = 19.25 states/eV per cell
density = 6.71 g/cm3

Structure (POSCAR):
```
La8Tb2Th
1.0
7.065 1.793 1.714
0.748 8.775 -0.672
0.944 -1.793 7.208
La Tb Th
8 2 1
direct
0.755 0.252 0.740
0.740 0.748 0.755
0.297 0.129 0.703
0.703 0.871 0.297
0.260 0.252 0.245
0.245 0.748 0.260
0.397 0.700 0.603
0.603 0.300 0.397
0.164 0.548 0.836
0.836 0.452 0.164
0.000 0.000 0.000
```


# 4
A plane-wave DFT calculation with PBE was carried out for a geometry-optimized La4Tb5Th structure.

Calculated values
calculated formation energy = 1.83 eV/f.u.
V = 348.71 Å³ per cell
N(E_F) = 15.77 states/eV per cell
density = 7.53 g/cm3

Structure (POSCAR):
```
La4Tb5Th
1.0
-0.853 5.357 -1.061
-6.177 -2.648 -8.407
-4.274 -2.733 4.033
La Tb Th
4 5 1
direct
0.664 0.252 0.328
0.058 0.752 0.115
0.336 0.748 0.672
0.942 0.248 0.885
0.197 0.067 0.394
0.197 0.432 0.394
0.803 0.568 0.606
0.500 0.500 0.000
0.803 0.933 0.606
0.500 0.000 0.000
```


# 5
A plane-wave DFT calculation with PBE was carried out for a geometry-optimized La7Tb16Th6 structure.

Calculated values
calculated formation energy = 6.67 eV/f.u.
V = 976.52 Å³ per cell
N(E_F) = 55.09 states/eV per cell
density = 8.34 g/cm3

Structure (POSCAR):
```
La7Tb16Th6
1.0
-0.590 -5.380 9.732
-6.355 -9.095 0.959
4.742 -10.013 1.124
La Tb Th
7 16 6
direct
0.000 0.000 0.000
0.500 0.000 0.500
0.000 0.500 0.000
0.000 0.500 0.500
0.500 0.000 0.000
0.000 0.000 0.500
0.500 0.500 0.000
0.847 0.847 0.459
0.847 0.847 0.847
0.847 0.459 0.847
0.459 0.847 0.847
0.153 0.153 0.153
0.153 0.153 0.541
0.153 0.541 0.153
0.541 0.153 0.153
0.611 0.611 0.167
0.611 0.611 0.611
0.611 0.167 0.611
0.167 0.611 0.611
0.389 0.389 0.389
0.389 0.389 0.833
0.389 0.833 0.389
0.833 0.389 0.389
0.225 0.775 0.225
0.775 0.225 0.775
0.775 0.225 0.225
0.225 0.775 0.775
0.775 0.775 0.225
0.225 0.225 0.775
```


# 6
A plane-wave DFT calculation with PBE was carried out for a geometry-optimized LaTbTh structure.

Calculated values
calculated formation energy = 0.08 eV/f.u.
V = 201.83 Å³ per cell
N(E_F) = 9.13 states/eV per cell
density = 8.72 g/cm3

Structure (POSCAR):
```
LaTbTh
1.0
3.612 -0.016 -0.040
-1.792 3.136 0.040
-1.597 -1.159 17.877
La Tb Th
2 2 2
direct
0.606 0.305 0.912
0.394 0.695 0.088
0.841 0.419 0.260
0.159 0.581 0.740
0.281 0.139 0.420
0.719 0.861 0.580
```


What is the formula in the second record?
LaTb4Th3